First-principles (PBE-GGA) data for NdGaAsPd2 after structural relaxation, as listed in the Open Quantum Materials Database.

## Properties
Its crystal system is tetragonal. The calculated total energy comes out at -5.46 eV/atom. For the volume, the calculation gives 19.34 Å³ per atom.

Geometry as POSCAR:
```
NdGaAsPd2
1.0
4.3187 0.0000 0.0000
0.0000 4.3187 0.0000
0.0000 0.0000 10.3703
As Ga Nd Pd
2 2 2 4
direct
0.0000 0.5000 0.3613
0.5000 0.0000 0.6387
0.0000 0.0000 0.0000
0.5000 0.5000 0.0000
0.5000 0.0000 0.2596
0.0000 0.5000 0.7404
0.0000 0.5000 0.1268
0.0000 0.0000 0.5000
0.5000 0.5000 0.5000
0.5000 0.0000 0.8732
```